meta-GGA SCAN Y5In3, PBEsol geometry; relative energy among the computed polymorphs = 0.0723 eV per atom; formation energy = -511 meV/atom; electronic total energy = -243.5 eV for the cell shown
1.0
3.9853 -5.3050 0.0000
3.9853 5.3050 0.0000
0.0000 0.0000 5.1009
Y In
5 3
Cartesian
0.0000 0.0000 0.0000 Y
1.9927 2.6525 0.0000 Y
2.2641 0.0000 2.5504 Y
1.9927 -2.6525 0.0000 Y
5.7066 0.0000 2.5504 Y
3.9853 3.0604 2.5504 In
3.9853 0.0000 0.0000 In
3.9853 -3.0604 2.5504 In


meta-GGA SCAN YIn4, PBEsol geometry; formation energy = 105 meV/atom; electronic total energy = -160.9 eV for the cell shown
1.0
-3.4537 3.4537 3.4537
3.4537 -3.4537 3.4537
3.4537 3.4537 -3.4537
Y In
1 4
Cartesian
0.0000 0.0000 0.0000 Y
1.7268 1.7268 -1.7268 In
1.7268 -1.7268 1.7268 In
-1.7268 1.7268 1.7268 In
1.7268 1.7268 1.7268 In


meta-GGA SCAN Y2In, PBEsol geometry; formation energy = -468 meV/atom; electronic total energy = -723.8 eV for the cell shown
1.0
0.0000 6.9617 6.9617
6.9617 0.0000 6.9617
6.9617 6.9617 0.0000
Y In
16 8
Cartesian
0.0000 0.0000 0.0000 Y
3.4808 3.4808 0.0000 Y
3.4808 0.0000 3.4808 Y
5.2213 5.2213 2.5952 Y
5.2213 2.5952 5.2213 Y
7.8473 5.2213 5.2213 Y
8.7021 8.7021 6.0761 Y
8.7021 6.0761 8.7021 Y
11.3282 8.7021 8.7021 Y
0.0000 3.4808 3.4808 Y
2.5952 5.2213 5.2213 Y
5.2213 7.8473 5.2213 Y
5.2213 5.2213 7.8473 Y
6.0761 8.7021 8.7021 Y
8.7021 11.3282 8.7021 Y
8.7021 8.7021 11.3282 Y
10.9061 6.4981 6.4981 In
3.0173 3.0173 3.0173 In
7.4253 7.4253 3.0173 In
7.4253 3.0173 7.4253 In
6.4981 10.9061 6.4981 In
6.4981 6.4981 10.9061 In
10.9061 10.9061 10.9061 In
3.0173 7.4253 7.4253 In


meta-GGA SCAN Y3In5, PBEsol geometry; relative energy among the computed polymorphs = 0.0004 eV per atom; formation energy = -675 meV/atom; electronic total energy = -1023.5 eV for the cell shown
1.0
12.1121 0.0000 0.0000
0.0000 10.2388 0.0000
0.0000 0.0000 6.3791
Y In
12 20
Cartesian
0.6854 2.5597 0.9437 Y
1.7366 5.1915 3.8907 Y
1.7366 10.1667 3.8907 Y
4.3195 0.0721 0.7011 Y
4.3195 5.0473 0.7011 Y
5.3706 7.6791 4.1332 Y
6.7415 2.5597 2.2458 Y
7.7926 5.1915 5.6779 Y
7.7926 10.1667 5.6779 Y
10.3756 0.0721 2.4884 Y
10.3756 5.0473 2.4884 Y
11.4267 7.6791 5.4354 Y
0.0735 2.5597 3.9348 In
1.1956 5.5788 0.7928 In
1.1956 9.7794 0.7928 In
2.6236 7.6791 5.5853 In
2.9850 2.5597 5.4145 In
3.0710 7.6791 2.2250 In
3.4325 2.5597 2.3957 In
4.8605 0.4594 3.9823 In
4.8605 4.6600 3.9823 In
5.9825 7.6791 0.7453 In
6.1296 2.5597 5.6338 In
7.2516 5.5788 2.3967 In
7.2516 9.7794 2.3967 In
8.6797 7.6791 3.9833 In
9.0411 2.5597 4.1541 In
9.1271 7.6791 0.9646 In
9.4885 2.5597 0.7938 In
10.9166 0.4594 5.5862 In
10.9166 4.6600 5.5862 In
12.0386 7.6791 2.4442 In


meta-GGA SCAN YIn2, PBEsol geometry; formation energy = -536 meV/atom; electronic total energy = -384.9 eV for the cell shown
1.0
6.4346 0.0000 0.0000
0.0000 4.4737 0.0000
0.0000 0.0000 10.2820
Y In
4 8
Cartesian
0.8911 1.1184 1.0290 Y
2.3262 3.3553 6.1700 Y
4.1085 1.1184 4.1120 Y
5.5435 3.3553 9.2530 Y
0.8040 1.1184 7.8875 In
0.8263 1.1184 4.3297 In
2.3910 3.3553 9.4707 In
2.4133 3.3553 2.7465 In
4.0213 1.1184 7.5355 In
4.0436 1.1184 0.8113 In
5.6084 3.3553 5.9523 In
5.6307 3.3553 2.3945 In


meta-GGA SCAN YIn2, PBEsol geometry; formation energy = -589 meV/atom; electronic total energy = -192.8 eV for the cell shown
1.0
4.9385 0.0000 0.0000
-2.4692 4.2768 0.0000
0.0000 0.0000 6.8954
Y In
2 4
Cartesian
0.0000 0.0000 1.7238 Y
0.0000 0.0000 5.1715 Y
0.0000 2.8512 0.0745 In
0.0000 2.8512 3.3731 In
2.4692 1.4256 3.5222 In
2.4692 1.4256 6.8208 In